i) The following is a GGA-PBE calculation of crystalline CoTe6Rh at its relaxed geometry, from Alexandria.

Values from the calculation:
* calculated density: 7.14 g/cm3
* V: 26.96 Å³/atom
* DOS at the Fermi energy: 9.389 states/eV/cell

a b c (Å): 8.2010 8.2010 9.5103
angles (deg): 124.79 124.79 71.13
Element x y z (fractional)
Co: 0.0000 0.5000 0.0000
Co: 0.5000 0.0000 0.0000
Te: 0.0157 0.3312 0.6822
Te: 0.1686 0.8191 0.1508
Te: 0.1809 0.8314 0.8492
Te: 0.3312 0.0157 0.6822
Te: 0.3397 0.3397 0.1573
Te: 0.3470 0.3470 0.5137
Te: 0.6530 0.6530 0.4863
Te: 0.6603 0.6603 0.8427
Te: 0.6688 0.9843 0.3178
Te: 0.8191 0.1686 0.1508
Te: 0.8314 0.1809 0.8492
Te: 0.9843 0.6688 0.3178
Rh: 0.0000 0.5000 0.5000
Rh: 0.5000 0.0000 0.5000

***

ii) The following is a GGA-PBE calculation of crystalline CoTe6Rh at its relaxed geometry, from Alexandria.

Values from the calculation:
* calculated density: 7.90 g/cm3
* V: 24.37 Å³/atom
* DOS at the Fermi energy: 3.301 states/eV/cell

a b c (Å): 6.4876 6.4965 6.5081
angles (deg): 60.14 60.24 60.33
Element x y z (fractional)
Co: 0.0000 0.0000 0.0000
Te: 0.0529 0.7593 0.4338
Te: 0.2366 0.5676 0.9452
Te: 0.4345 0.0526 0.7640
Te: 0.5655 0.9474 0.2360
Te: 0.7634 0.4324 0.0548
Te: 0.9471 0.2407 0.5662
Rh: 0.5000 0.5000 0.5000

***

Most favorable first, least favorable last: ii), i)

***

i) The following is a GGA-PBE calculation of crystalline Ti6Co2Rh at its relaxed geometry, from Alexandria.

Values from the calculation:
* calculated density: 6.04 g/cm3
* V: 15.52 Å³/atom
* DOS at the Fermi energy: 17.839 states/eV/cell

a b c (Å): 4.9956 6.5879 9.8115
angles (deg): 90.00 120.11 90.00
Element x y z (fractional)
Ti: 0.0544 0.2322 0.4211
Ti: 0.0544 0.2678 0.9211
Ti: 0.2845 0.6359 0.4542
Ti: 0.2845 0.8641 0.9542
Ti: 0.4055 0.0890 0.2345
Ti: 0.4055 0.4110 0.7345
Ti: 0.5945 0.5890 0.2655
Ti: 0.5945 0.9110 0.7655
Ti: 0.7155 0.1359 0.0458
Ti: 0.7155 0.3641 0.5458
Ti: 0.9456 0.7322 0.0789
Ti: 0.9456 0.7678 0.5789
Co: 0.1069 0.0899 0.7200
Co: 0.1069 0.4101 0.2200
Co: 0.8931 0.5899 0.7800
Co: 0.8931 0.9101 0.2800
Rh: 0.5000 0.0000 0.5000
Rh: 0.5000 0.5000 0.0000

***

ii) The following is a GGA-PBE calculation of crystalline Ti6Co2Rh at its relaxed geometry, from Alexandria.

Values from the calculation:
* calculated density: 6.14 g/cm3
* V: 15.25 Å³/atom
* DOS at the Fermi energy: 21.028 states/eV/cell

a b c (Å): 7.0924 7.0924 7.0924
angles (deg): 110.54 109.05 108.83
Element x y z (fractional)
Ti: 0.0409 0.2174 0.8235
Ti: 0.2420 0.2990 0.5409
Ti: 0.2420 0.7010 0.9430
Ti: 0.2862 0.6019 0.3157
Ti: 0.2862 0.9705 0.6843
Ti: 0.3939 0.2174 0.1765
Ti: 0.6061 0.7826 0.8235
Ti: 0.7138 0.0295 0.3157
Ti: 0.7138 0.3981 0.6843
Ti: 0.7580 0.2990 0.0570
Ti: 0.7580 0.7010 0.4591
Ti: 0.9591 0.7826 0.1765
Co: 0.0000 0.1476 0.1476
Co: 0.0000 0.8524 0.8524
Co: 0.3554 0.0000 0.3554
Co: 0.6446 0.0000 0.6446
Rh: 0.0000 0.5000 0.5000
Rh: 0.5000 0.5000 0.0000

***

Most favorable first, least favorable last: ii), i)

***

i) The following is a GGA-PBE calculation of crystalline TiCoRh at its relaxed geometry, from Alexandria.

Values from the calculation:
* calculated density: 7.67 g/cm3
* V: 15.13 Å³/atom
* DOS at the Fermi energy: 3.644 states/eV/cell

a b c (Å): 3.7900 2.9365 4.0786
angles (deg): 90.00 90.17 90.00
Element x y z (fractional)
Ti: 0.0000 0.0000 0.0000
Co: 0.5000 0.5000 0.0000
Rh: 0.5000 0.0000 0.5000

***

ii) The following is a GGA-PBE calculation of crystalline TiCoRh at its relaxed geometry, from Alexandria.

Values from the calculation:
* calculated density: 8.53 g/cm3
* V: 13.60 Å³/atom
* DOS at the Fermi energy: 12.541 states/eV/cell

a b c (Å): 7.1057 7.1057 7.1057
angles (deg): 110.61 90.67 129.51
Element x y z (fractional)
Ti: 0.1724 0.0038 0.1762
Ti: 0.1724 0.4962 0.6686
Ti: 0.4566 0.7499 0.2067
Ti: 0.5432 0.2499 0.7933
Ti: 0.8276 0.5038 0.3314
Ti: 0.8276 0.9962 0.8238
Co: 0.2493 0.3122 0.8389
Co: 0.2493 0.9105 0.4371
Co: 0.4733 0.4105 0.1611
Co: 0.4733 0.8122 0.5629
Co: 0.7270 0.2270 0.5000
Co: 0.7270 0.7270 0.0000
Rh: 0.0016 0.5112 0.9903
Rh: 0.0429 0.2940 0.2489
Rh: 0.0451 0.7940 0.7511
Rh: 0.4985 0.4464 0.5521
Rh: 0.5209 0.0112 0.0097
Rh: 0.8943 0.9464 0.4479

***

Most favorable first, least favorable last: ii), i)

***

i) The following is a GGA-PBE calculation of crystalline TiCoRh at its relaxed geometry, from Alexandria.

Values from the calculation:
* calculated density: 8.35 g/cm3
* V: 13.90 Å³/atom
* DOS at the Fermi energy: 4.607 states/eV/cell

a b c (Å): 6.5753 6.5753 6.5753
angles (deg): 147.14 147.14 47.16
Element x y z (fractional)
Ti: 0.1363 0.1363 0.0000
Ti: 0.8637 0.8637 0.0000
Co: 0.0000 0.5000 0.5000
Co: 0.5000 0.0000 0.5000
Rh: 0.3418 0.3418 0.0000
Rh: 0.6582 0.6582 0.0000

***

ii) The following is a GGA-PBE calculation of crystalline TiCoRh at its relaxed geometry, from Alexandria.

Values from the calculation:
* calculated density: 8.48 g/cm3
* V: 13.69 Å³/atom
* DOS at the Fermi energy: 3.504 states/eV/cell

a b c (Å): 4.9624 4.9624 4.9624
angles (deg): 144.46 144.46 51.14
Element x y z (fractional)
Ti: 0.0000 0.0000 0.0000
Co: 0.6484 0.6484 0.0000
Rh: 0.3328 0.3328 0.0000

***

Most favorable first, least favorable last: ii), i)

***

i) The following is a GGA-PBE calculation of crystalline Ti2Co2Rh at its relaxed geometry, from Alexandria.

Values from the calculation:
* calculated density: 7.85 g/cm3
* V: 13.39 Å³/atom
* DOS at the Fermi energy: 12.831 states/eV/cell

a b c (Å): 6.6519 6.6519 3.0260
angles (deg): 90.00 90.00 90.00
Element x y z (fractional)
Ti: 0.1788 0.3212 0.0000
Ti: 0.3212 0.8212 0.0000
Ti: 0.6788 0.1788 0.0000
Ti: 0.8212 0.6788 0.0000
Co: 0.1230 0.6230 0.5000
Co: 0.3770 0.1230 0.5000
Co: 0.6230 0.8770 0.5000
Co: 0.8770 0.3770 0.5000
Rh: 0.0000 0.0000 0.5000
Rh: 0.5000 0.5000 0.5000

***

ii) The following is a GGA-PBE calculation of crystalline Ti2Co2Rh at its relaxed geometry, from Alexandria.

Values from the calculation:
* calculated density: 7.25 g/cm3
* V: 14.50 Å³/atom
* DOS at the Fermi energy: 2.114 states/eV/cell

a b c (Å): 4.1270 4.1270 4.9162
angles (deg): 90.00 90.00 120.00
Element x y z (fractional)
Ti: 0.3333 0.6667 0.2050
Ti: 0.6667 0.3333 0.7950
Co: 0.3333 0.6667 0.6785
Co: 0.6667 0.3333 0.3215
Rh: 0.0000 0.0000 0.0000

***

Most favorable first, least favorable last: i), ii)

***

i) The following is a GGA-PBE calculation of crystalline TlCo2Rh at its relaxed geometry, from Alexandria.

Values from the calculation:
* calculated density: 11.98 g/cm3
* V: 14.73 Å³/atom
* DOS at the Fermi energy: 6.991 states/eV/cell

a b c (Å): 3.8541 3.8541 3.9665
angles (deg): 90.00 90.00 90.00
Element x y z (fractional)
Tl: 0.0000 0.0000 0.0000
Co: 0.0000 0.5000 0.5000
Co: 0.5000 0.0000 0.5000
Rh: 0.5000 0.5000 0.0000

***

ii) The following is a GGA-PBE calculation of crystalline TlCo2Rh at its relaxed geometry, from Alexandria.

Values from the calculation:
* calculated density: 11.48 g/cm3
* V: 15.37 Å³/atom
* DOS at the Fermi energy: 5.007 states/eV/cell

a b c (Å): 8.4763 8.4763 8.4763
angles (deg): 19.86 19.86 19.86
Element x y z (fractional)
Tl: 0.0000 0.0000 0.0000
Co: 0.4939 0.4939 0.4939
Co: 0.7588 0.7588 0.7588
Rh: 0.2393 0.2393 0.2393

***

iii) The following is a GGA-PBE calculation of crystalline TlCo2Rh at its relaxed geometry, from Alexandria.

Values from the calculation:
* calculated density: 10.55 g/cm3
* V: 16.73 Å³/atom
* DOS at the Fermi energy: 11.891 states/eV/cell

a b c (Å): 9.5557 9.5557 9.5557
angles (deg): 156.93 156.93 32.85
Element x y z (fractional)
Tl: 0.0000 0.0000 0.0000
Tl: 0.7500 0.2500 0.5000
Co: 0.2028 0.6250 0.0778
Co: 0.3750 0.4528 0.5778
Co: 0.5472 0.1250 0.9222
Co: 0.8750 0.7972 0.4222
Rh: 0.2500 0.7500 0.5000
Rh: 0.5000 0.5000 0.0000

***

Most favorable first, least favorable last: i), ii), iii)

***

i) The following is a GGA-PBE calculation of crystalline TlCo2Rh at its relaxed geometry, from Alexandria.

Values from the calculation:
* calculated density: 11.99 g/cm3
* V: 14.72 Å³/atom
* DOS at the Fermi energy: 8.308 states/eV/cell

a b c (Å): 4.6279 4.6279 2.8895
angles (deg): 90.00 90.00 107.94
Element x y z (fractional)
Tl: 0.0000 0.0000 0.0000
Co: 0.0000 0.5000 0.5000
Co: 0.5000 0.0000 0.5000
Rh: 0.5000 0.5000 0.0000

***

ii) The following is a GGA-PBE calculation of crystalline TlCo2Rh at its relaxed geometry, from Alexandria.

Values from the calculation:
* calculated density: 12.10 g/cm3
* V: 14.58 Å³/atom
* DOS at the Fermi energy: 5.827 states/eV/cell

a b c (Å): 4.3530 4.3530 4.3530
angles (deg): 60.00 60.00 60.00
Element x y z (fractional)
Tl: 0.0000 0.0000 0.0000
Co: 0.2500 0.2500 0.2500
Co: 0.7500 0.7500 0.7500
Rh: 0.5000 0.5000 0.5000

***

iii) The following is a GGA-PBE calculation of crystalline TlCo2Rh at its relaxed geometry, from Alexandria.

Values from the calculation:
* calculated density: 11.84 g/cm3
* V: 14.90 Å³/atom
* DOS at the Fermi energy: 4.350 states/eV/cell

a b c (Å): 4.0425 5.3277 5.3277
angles (deg): 31.30 90.00 90.00
Element x y z (fractional)
Tl: 0.0000 0.0000 0.0000
Co: 0.0000 0.7399 0.7399
Co: 0.5000 0.6276 0.6276
Rh: 0.5000 0.3449 0.3449

***

iv) The following is a GGA-PBE calculation of crystalline TlCo2Rh at its relaxed geometry, from Alexandria.

Values from the calculation:
* calculated density: 12.04 g/cm3
* V: 14.66 Å³/atom
* DOS at the Fermi energy: 7.285 states/eV/cell

a b c (Å): 3.8620 3.8620 4.7802
angles (deg): 113.72 113.72 90.04
Element x y z (fractional)
Tl: 0.0000 0.0000 0.0000
Co: 0.2508 0.7492 0.5000
Co: 0.7492 0.2508 0.5000
Rh: 0.5000 0.5000 0.0000

***

Most favorable first, least favorable last: iii), iv), ii), i)

***

i) The following is a GGA-PBE calculation of crystalline TlCo2Rh at its relaxed geometry, from Alexandria.

Values from the calculation:
* calculated density: 11.87 g/cm3
* V: 14.86 Å³/atom
* DOS at the Fermi energy: 5.138 states/eV/cell

a b c (Å): 2.9821 2.9821 6.6855
angles (deg): 90.00 90.00 90.00
Element x y z (fractional)
Tl: 0.0000 0.0000 0.0000
Co: 0.0000 0.0000 0.4710
Co: 0.5000 0.5000 0.2928
Rh: 0.5000 0.5000 0.7009

***

ii) The following is a GGA-PBE calculation of crystalline TlCo2Rh at its relaxed geometry, from Alexandria.

Values from the calculation:
* calculated density: 12.06 g/cm3
* V: 14.64 Å³/atom
* DOS at the Fermi energy: 7.036 states/eV/cell

a b c (Å): 4.7362 4.7362 4.7362
angles (deg): 131.38 131.38 71.21
Element x y z (fractional)
Tl: 0.0000 0.0000 0.0000
Co: 0.2500 0.7500 0.5000
Co: 0.5000 0.5000 0.0000
Rh: 0.7500 0.2500 0.5000

***

Most favorable first, least favorable last: i), ii)